Here is a relaxed structure of NaBe2B from the Alexandria database. Energies are from GGA-PBE.

Results
energy relative to the elements	0.0831	eV/atom

a = 5.4170 Å, b = 3.4025 Å, c = 5.8994 Å
α = 90.00°, β = 111.29°, γ = 90.00°
With the nearest neighbours (Å) after each atom.
Fractional positions:
Na: 0.0447 0.5000 0.2063  1 Be 2.63, 1 B 2.63
Be: 0.5243 0.0000 0.5325  3 B 1.98, 3 Be 1.98
B: 0.5661 0.5000 0.3799  6 Be 1.96-1.98
B: 0.5661 0.0000 0.8799  6 Be 1.96-1.98
Na: 0.0447 0.0000 0.7063  1 Be 2.63, 1 B 2.63
Be: 0.5701 0.0000 0.2146  3 B 1.96-1.97, 3 Be 1.98
Be: 0.5701 0.5000 0.7146  3 B 1.96-1.97, 3 Be 1.98
Be: 0.5243 0.5000 0.0325  3 B 1.98, 3 Be 1.98